Here is a geometry-optimized CoAgSO structure from OQMD via LeMat-Bulk. Energies are from PBE+U.

```
data_CoAgSO
_space_group_name_H-M_alt 'P 1'
_space_group_IT_number 1
_cell_length_a 3.991
_cell_length_b 3.991
_cell_length_c 7.992
_cell_angle_alpha 90.00
_cell_angle_beta 90.00
_cell_angle_gamma 90.00
loop_
_space_group_symop_operation_xyz
'x,y,z'
loop_
_atom_site_label
_atom_site_type_symbol
_atom_site_fract_x
_atom_site_fract_y
_atom_site_fract_z
O1 O 0.250 0.250 0.127
O2 O 0.750 0.750 0.873
Co1 Co 0.250 0.250 0.346
Co2 Co 0.750 0.750 0.654
S1 S 0.250 0.750 0.500
S2 S 0.750 0.250 0.500
Ag1 Ag 0.750 0.750 0.150
Ag2 Ag 0.250 0.250 0.850
```

Summary:
Mass density, g/cm³: 5.60
Energy above the lowest structure with this stoichiometry, eV/atom: 0.390
Magnetization, μB per cell: 5.794